1.
A plane-wave DFT calculation with PBE was carried out for a geometry-optimized Sm8CuGe5 structure.

## Properties
The energy relative to the elements comes out at -0.69 eV/atom. The calculation puts the raw total energy at -5.323 eV per atom. For the spin magnetization, the calculation gives 0.0 μB/f.u.

Unit cell a=8.990 b=8.990 c=9.111 alpha=90.00 beta=90.00 gamma=90.00
Space group I-4 (No. 82)
Symmetry-distinct sites (fractional):
Sm 0.064 0.184 0.306
Sm 0.072 0.314 0.935
Cu 0.000 0.500 0.250
Ge 0.000 0.000 0.000
Ge 0.126 0.251 0.622


2.
A plane-wave DFT calculation with PBE was carried out for a geometry-optimized Ga2HgMo2 structure.

## Properties
For the energy relative to the lowest polymorph listed for this composition, the calculation gives 0.000 eV/atom. The energy relative to the elements comes out at 0.16 eV/atom. The calculation puts the raw total energy at -5.440 eV per atom. For the spin magnetization, the calculation gives 0.0 μB/f.u.

Unit cell a=7.287 b=7.287 c=3.314 alpha=90.00 beta=90.00 gamma=90.00
Space group P4/mbm (No. 127)
Symmetry-distinct sites (fractional):
Ga 0.175 0.325 0.000
Hg 0.000 0.000 0.500
Mo 0.118 0.618 0.500


3.
A plane-wave DFT calculation with PBE was carried out for a geometry-optimized AcGaAg2S4 structure.

## Properties
The calculation puts the raw total energy at -4.393 eV per atom. As for the raw formation energy: -725 meV/atom. For the spin magnetization, the calculation gives 0.0 μB/f.u.

Unit cell a=11.042 b=11.127 c=7.889 alpha=90.00 beta=130.47 gamma=90.00
Space group C2/c (No. 15)
Symmetry-distinct sites (fractional):
Ac 0.250 0.250 0.000
Ga 0.000 0.000 0.000
Ag 0.000 0.500 0.000
Ag 0.250 0.250 0.500
S 0.015 0.213 0.505
S 0.239 0.013 0.412


4.
A plane-wave DFT calculation with PBE was carried out for a geometry-optimized PmNdSnI structure.

## Properties
The calculation puts the raw total energy at -4.493 eV per atom. As for the raw formation energy: -725 meV/atom. For the spin magnetization, the calculation gives 0.0 μB/f.u.

Unit cell a=7.837 b=7.837 c=7.837 alpha=90.00 beta=90.00 gamma=90.00
Space group F-43m (No. 216)
Symmetry-distinct sites (fractional):
Pm 0.000 0.000 0.000
Nd 0.000 0.000 0.500
Sn 0.250 0.250 0.250
I 0.250 0.250 0.750


5.
A plane-wave DFT calculation with PBE was carried out for a geometry-optimized Hf6Mn2Pt structure.

## Properties
The energy relative to the elements comes out at -0.31 eV/atom. The calculation puts the raw total energy at -9.654 eV per atom. For the spin magnetization, the calculation gives 0.0 μB/f.u.

Unit cell a=8.632 b=8.758 c=9.049 alpha=90.00 beta=90.00 gamma=90.00
Space group Immm (No. 71)
Symmetry-distinct sites (fractional):
Hf 0.000 0.196 0.174
Hf 0.188 0.225 0.500
Hf 0.199 0.500 0.255
Mn 0.000 0.000 0.388
Mn 0.157 0.000 0.000
Pt 0.000 0.500 0.000
Pt 0.000 0.500 0.500


6.
A plane-wave DFT calculation with PBE was carried out for a geometry-optimized Pm3Dy4Sc structure.

## Properties
For the energy relative to the lowest polymorph listed for this composition, the calculation gives 0.000 eV/atom. The energy relative to the elements comes out at 0.03 eV/atom. The calculation puts the raw total energy at -4.844 eV per atom. For the spin magnetization, the calculation gives 0.0 μB/f.u.

Unit cell a=11.314 b=7.249 c=6.245 alpha=90.00 beta=90.00 gamma=90.00
Space group Pmn2_1 (No. 31)
Symmetry-distinct sites (fractional):
Pm 0.000 0.126 0.000
Pm 0.250 0.123 0.331
Dy 0.000 0.375 0.504
Dy 0.000 0.624 0.999
Dy 0.245 0.625 0.337
Sc 0.000 0.872 0.498


7.
A plane-wave DFT calculation with PBE was carried out for a geometry-optimized Ca2TaHg structure.

## Properties
The energy relative to the elements comes out at 0.49 eV/atom. The calculation puts the raw total energy at -3.551 eV per atom. For the spin magnetization, the calculation gives 1.5 μB/f.u.

Unit cell a=4.557 b=4.557 c=9.589 alpha=90.00 beta=90.00 gamma=90.00
Space group I4/mmm (No. 139)
Symmetry-distinct sites (fractional):
Ca 0.000 0.500 0.250
Ta 0.000 0.000 0.000
Hg 0.000 0.000 0.500


8.
A plane-wave DFT calculation with PBE was carried out for a geometry-optimized Ti2CoRe structure.

## Properties
For the energy relative to the lowest polymorph listed for this composition, the calculation gives 0.014 eV/atom. The energy relative to the elements comes out at -0.42 eV/atom. The calculation puts the raw total energy at -9.261 eV per atom. For the spin magnetization, the calculation gives 0.0 μB/f.u.

Unit cell a=4.288 b=4.288 c=3.095 alpha=90.00 beta=90.00 gamma=90.00
Space group P4/mmm (No. 123)
Symmetry-distinct sites (fractional):
Ti 0.000 0.500 0.000
Co 0.000 0.000 0.500
Re 0.500 0.500 0.500


9.
A plane-wave DFT calculation with PBE was carried out for a geometry-optimized TaAl2Pt structure.

## Properties
The energy relative to the elements comes out at -0.16 eV/atom. The calculation puts the raw total energy at -6.503 eV per atom. For the spin magnetization, the calculation gives 0.0 μB/f.u.

Unit cell a=7.120 b=7.120 c=5.496 alpha=90.00 beta=90.00 gamma=90.00
Space group I-42d (No. 122)
Symmetry-distinct sites (fractional):
Ta 0.000 0.000 0.000
Al 0.216 0.250 0.625
Pt 0.000 0.000 0.500


10.
A plane-wave DFT calculation with PBE was carried out for a geometry-optimized Li2ReBr structure.

## Properties
For the energy relative to the lowest polymorph listed for this composition, the calculation gives 0.725 eV/atom. The calculation puts the raw total energy at -3.658 eV per atom. As for the raw formation energy: 829 meV/atom. For the spin magnetization, the calculation gives 1.8 μB/f.u.

Unit cell a=3.856 b=3.856 c=8.709 alpha=90.00 beta=90.00 gamma=90.00
Space group I4/mmm (No. 139)
Symmetry-distinct sites (fractional):
Li 0.000 0.500 0.250
Re 0.000 0.000 0.000
Br 0.000 0.000 0.500


11.
A plane-wave DFT calculation with PBE was carried out for a geometry-optimized MoAu3Br structure.

## Properties
For the energy relative to the lowest polymorph listed for this composition, the calculation gives 0.000 eV/atom. The calculation puts the raw total energy at -3.306 eV per atom. As for the raw formation energy: 1161 meV/atom. For the spin magnetization, the calculation gives 0.0 μB/f.u.

Unit cell a=5.095 b=5.095 c=5.095 alpha=90.00 beta=90.00 gamma=90.00
Space group Pm-3m (No. 221)
Symmetry-distinct sites (fractional):
Mo 0.000 0.000 0.000
Au 0.000 0.000 0.500
Br 0.500 0.500 0.500


12.
A plane-wave DFT calculation with PBE was carried out for a geometry-optimized TmVCo2 structure.

## Properties
For the energy relative to the lowest polymorph listed for this composition, the calculation gives 0.160 eV/atom. The energy relative to the elements comes out at 0.05 eV/atom. The calculation puts the raw total energy at -6.902 eV per atom. For the spin magnetization, the calculation gives 2.3 μB/f.u.

Unit cell a=4.399 b=4.399 c=3.051 alpha=90.00 beta=90.00 gamma=90.00
Space group P4/mmm (No. 123)
Symmetry-distinct sites (fractional):
Tm 0.000 0.000 0.000
V 0.500 0.500 0.000
Co 0.000 0.500 0.500